# 1
A plane-wave DFT calculation with PBE was carried out for Sr2SmThO6 after structural relaxation.

The calculation puts the calculated total energy at -7.561 eV/atom. For the calculated volume, the calculation gives 16.93 A^3/atom. The raw formation energy comes out at -3.04 eV/atom.

It has space group P2_1/c (No. 14), with a = 6.116 Å, b = 6.300 Å, c = 10.684 Å, α = 90.00°, β = 124.68° and γ = 90.00°. Symmetry generates all atoms from Sr at (0.234, 0.048, 0.250), Sm at (0.000, 0.000, 0.500), Th at (0.500, 0.000, 0.000), O at (0.139, 0.199, 0.938), O at (0.239, 0.705, 0.936) and O at (0.369, 0.054, 0.753).

---

# 2
A plane-wave DFT calculation with PBE was carried out for Sr2SmTlO5 after structural relaxation.

The calculation puts the calculated total energy at -6.259 eV/atom. For the calculated volume, the calculation gives 17.30 A^3/atom. The raw formation energy comes out at -2.34 eV/atom.

It has space group Cmc2_1 (No. 36), with a = 3.563 Å, b = 14.621 Å, c = 11.959 Å, α = 90.00°, β = 90.00° and γ = 90.00°. Symmetry generates all atoms from Sr at (0.000, 0.128, 0.000), Sr at (0.000, 0.130, 0.485), Sm at (0.000, 0.238, 0.758), Tl at (0.000, 0.497, 0.234), O at (0.000, 0.077, 0.792), O at (0.000, 0.267, 0.127), O at (0.000, 0.283, 0.392), O at (0.000, 0.381, 0.836) and O at (0.000, 0.492, 0.554).